1.
# Li2Nd3Ag3

An optimized crystal structure of Li2Nd3Ag3 (PBE, Alexandria via LeMat-Bulk).

SG = No. 71
Formation energy = -0.15 eV per atom

Lattice parameters (Å, degrees): 3.6379 5.2699 10.8748 104.02 99.63 90.00
Fractional positions:
Nd1 0.5000 0.0000 0.0000
Nd2 0.3718 0.3718 0.7436
Nd3 0.6282 0.6282 0.2564
Ag1 0.0000 0.5000 0.0000
Ag2 0.1325 0.1325 0.2651
Ag3 0.8675 0.8675 0.7349
Li1 0.2663 0.7663 0.5325
Li2 0.7337 0.2337 0.4675



2.
# ScIr3S

An optimized crystal structure of ScIr3S (PBE, Alexandria via LeMat-Bulk).

Excess energy over the best structure of this formula in the dataset = 1.751 eV per atom
SG = No. 221
Energy relative to the elements, uncorrected = 1.917 eV/atom

Lattice parameters (Å, degrees): 4.7375 4.7375 4.7375 90.00 90.00 90.00
Last column: magnetic moment on the atom in μB.
Fractional positions:
Ir1 0.5000 0.0000 0.0000  0.62
Ir2 0.0000 0.5000 0.0000  0.93
Ir3 0.0000 0.0000 0.5000  0.76
Sc1 0.0000 0.0000 0.0000  -0.09
S1 0.5000 0.5000 0.5000  0.22



3.
# Mg6CdFe

An optimized crystal structure of Mg6CdFe (PBE, Alexandria via LeMat-Bulk).

SG = No. 38
Formation energy = 0.11 eV per atom

Lattice parameters (Å, degrees): 6.1558 6.1558 4.9207 90.00 90.00 119.91
Last column: magnetic moment on the atom in μB.
Fractional positions:
Mg1 0.6645 0.8330 0.0000  -0.01
Mg2 0.8509 0.6720 0.5000  -0.01
Mg3 0.1670 0.3355 0.0000  -0.01
Mg4 0.8338 0.1662 0.5000  0.01
Mg5 0.6658 0.3342 0.0000  -0.01
Mg6 0.3280 0.1491 0.5000  -0.01
Cd1 0.3284 0.6716 0.5000  -0.02
Fe1 0.1617 0.8383 0.0000  2.67



no.,energy (eV/atom)
1,-3.484
2,-5.491
3,-2.263